# 1
Entry from Alexandria: PuTiTcOs after structural relaxation (PBE).

a = 4.5741 Å, b = 4.5741 Å, c = 4.5741 Å
α = 60.00°, β = 60.00°, γ = 60.00°
Closest atoms and distances in Å follow each position.
Element x y z (fractional)
Pu: 0.0000 0.0000 0.0000  4 Tc 2.80, 4 Os 2.80
Ti: 0.5000 0.5000 0.5000  4 Tc 2.80, 4 Os 2.80
Tc: 0.7500 0.7500 0.7500  4 Pu 2.80, 4 Ti 2.80
Os: 0.2500 0.2500 0.2500  4 Pu 2.80, 4 Ti 2.80

**E**: -44.62 eV per cell
**Calculated volume**: 16.9 A^3/atom
**ΔH_f (0 K)**: -200 meV/atom
**Size of the total moment**: 4.210 μB per cell
**SG**: F-43m

# 2
Entry from Alexandria: RbGaAu after structural relaxation (PBE).

a = 7.2093 Å, b = 7.2093 Å, c = 7.2093 Å
α = 90.00°, β = 90.00°, γ = 90.00°
Closest atoms and distances in Å follow each position.
Element x y z (fractional)
Rb: 0.1348 0.1348 0.1348  4 Au 3.35-3.74, 1 Ga 3.55
Rb: 0.3652 0.8652 0.6348  4 Au 3.35-3.74, 1 Ga 3.55
Rb: 0.6348 0.3652 0.8652  4 Au 3.35-3.74, 1 Ga 3.55
Rb: 0.8652 0.6348 0.3652  4 Au 3.35-3.74, 1 Ga 3.55
Ga: 0.1493 0.3507 0.6493  3 Au 2.58
Ga: 0.3507 0.6493 0.1493  3 Au 2.58
Ga: 0.6493 0.1493 0.3507  3 Au 2.58
Ga: 0.8507 0.8507 0.8507  3 Au 2.58
Au: 0.0968 0.5968 0.9032  3 Ga 2.58
Au: 0.4032 0.4032 0.4032  3 Ga 2.58
Au: 0.5968 0.9032 0.0968  3 Ga 2.58
Au: 0.9032 0.0968 0.5968  3 Ga 2.58

**Relative energy among the computed polymorphs**: 0.0000 eV per atom
**E**: -32.56 eV per cell
**Calculated volume**: 31.2 A^3/atom
**ΔH_f (0 K)**: -289 meV/atom
**Size of the total moment**: 0.000 μB per cell
**SG**: P2_13

# 3
Entry from Alexandria: TlRh2 after structural relaxation (PBE).

a = 7.3488 Å, b = 7.3488 Å, c = 4.7857 Å
α = 90.00°, β = 90.00°, γ = 156.42°
Closest atoms and distances in Å follow each position.
Element x y z (fractional)
Tl: 0.2091 0.7909 0.7500  6 Rh 2.79-3.04, 6 Tl 3.00-3.06
Tl: 0.7909 0.2091 0.2500  6 Rh 2.79-3.04, 6 Tl 3.00-3.06
Rh: 0.1073 0.8927 0.2500  6 Rh 2.67-2.96, 2 Tl 2.81
Rh: 0.4543 0.5457 0.2500  8 Rh 2.67-2.96, 2 Tl 2.79
Rh: 0.5457 0.4543 0.7500  8 Rh 2.67-2.96, 2 Tl 2.79
Rh: 0.8927 0.1073 0.7500  6 Rh 2.67-2.96, 2 Tl 2.81

**Relative energy among the computed polymorphs**: 0.1611 eV per atom
**E**: -32.12 eV per cell
**Calculated volume**: 17.2 A^3/atom
**ΔH_f (0 K)**: 337 meV/atom
**Size of the total moment**: 0.000 μB per cell
**SG**: Cmcm

# 4
Entry from Alexandria: ReP2Pt after structural relaxation (PBE).

a = 2.7889 Å, b = 2.7889 Å, c = 9.7084 Å
α = 90.00°, β = 90.00°, γ = 114.71°
Closest atoms and distances in Å follow each position.
Element x y z (fractional)
Re: 0.0000 0.0000 0.0000  2 P 2.34
P: 0.0000 0.0000 0.4525  2 Pt 2.42
P: 0.5000 0.5000 0.8148  2 Re 2.34
Pt: 0.5000 0.5000 0.2568  2 P 2.42

**Relative energy among the computed polymorphs**: 0.5532 eV per atom
**E**: -27.97 eV per cell
**Calculated volume**: 17.2 A^3/atom
**ΔH_f (0 K)**: 334 meV/atom
**Size of the total moment**: 0.000 μB per cell
**SG**: Cmm2

# 5
Entry from Alexandria: K2SmSe2O6 after structural relaxation (PBE).

a = 5.6486 Å, b = 5.6486 Å, c = 7.3216 Å
α = 108.56°, β = 108.56°, γ = 67.46°
Closest atoms and distances in Å follow each position.
Element x y z (fractional)
K: 0.1987 0.1987 0.1423  5 O 2.78-2.97
K: 0.8013 0.8013 0.8577  5 O 2.78-2.97
Sm: 0.0000 0.0000 0.5000  6 O 2.37
Se: 0.4257 0.4257 0.7638  3 O 1.73-1.84
Se: 0.5743 0.5743 0.2362  3 O 1.73-1.84
O: 0.2262 0.7224 0.2487  1 Se 1.84
O: 0.2637 0.2637 0.5462  1 Se 1.73
O: 0.2776 0.7738 0.7513  1 Se 1.84
O: 0.7224 0.2262 0.2487  1 Se 1.84
O: 0.7363 0.7363 0.4538  1 Se 1.73
O: 0.7738 0.2776 0.7513  1 Se 1.84

**E**: -60.83 eV per cell
**Calculated volume**: 18.1 A^3/atom
**Size of the total moment**: 0.000 μB per cell
**SG**: C2/m

# 6
Entry from Alexandria: Ti2NbW after structural relaxation (PBE).

a = 3.1610 Å, b = 3.1610 Å, c = 6.7433 Å
α = 90.00°, β = 90.00°, γ = 90.00°
Closest atoms and distances in Å follow each position.
Element x y z (fractional)
Ti: 0.0000 0.0000 0.2302  4 W 2.72, 4 Nb 2.88
Ti: 0.0000 0.0000 0.7698  4 W 2.72, 4 Nb 2.88
Nb: 0.5000 0.5000 0.5000  8 Ti 2.88, 4 Nb 3.16
W: 0.5000 0.5000 0.0000  8 Ti 2.72

**Relative energy among the computed polymorphs**: 0.0644 eV per atom
**E**: -38.59 eV per cell
**Calculated volume**: 16.8 A^3/atom
**ΔH_f (0 K)**: 56 meV/atom
**Size of the total moment**: 0.000 μB per cell
**SG**: P4/mmm

# 7
Entry from Alexandria: UPdS2 after structural relaxation (PBE).

a = 5.7379 Å, b = 5.7379 Å, c = 5.7379 Å
α = 41.75°, β = 41.75°, γ = 41.75°
Closest atoms and distances in Å follow each position.
Element x y z (fractional)
U: 0.0000 0.0000 0.0000  6 S 2.70
Pd: 0.5000 0.5000 0.5000  6 S 2.69
S: 0.2495 0.2495 0.2495  3 Pd 2.69, 3 U 2.70
S: 0.7505 0.7505 0.7505  3 Pd 2.69, 3 U 2.70

**Relative energy among the computed polymorphs**: 0.0902 eV per atom
**E**: -28.45 eV per cell
**Calculated volume**: 18.9 A^3/atom
**Size of the total moment**: 2.000 μB per cell
**SG**: R-3m

# 8
Entry from Alexandria: Pr3Tm2UN6 after structural relaxation (PBE).

a = 6.0650 Å, b = 6.0650 Å, c = 6.2113 Å
α = 99.37°, β = 99.37°, γ = 119.93°
Closest atoms and distances in Å follow each position.
Element x y z (fractional)
Pr: 0.0000 0.0000 0.0000  6 N 2.59-2.71
Pr: 0.3313 0.6687 0.0000  6 N 2.59-2.70
Pr: 0.6687 0.3313 0.0000  6 N 2.59-2.70
Tm: 0.1663 0.8337 0.5000  6 N 2.43-2.44
Tm: 0.8337 0.1663 0.5000  6 N 2.43-2.44
U: 0.5000 0.5000 0.5000  6 N 2.28-2.30
N: 0.1144 0.4286 0.2858  1 U 2.28, 2 Tm 2.43-2.44
N: 0.2572 0.2572 0.7164  1 U 2.30, 2 Tm 2.43
N: 0.4286 0.1144 0.2858  1 U 2.28, 2 Tm 2.43-2.44
N: 0.5714 0.8856 0.7142  1 U 2.28, 2 Tm 2.43-2.44
N: 0.7428 0.7428 0.2836  1 U 2.30, 2 Tm 2.43
N: 0.8856 0.5714 0.7142  1 U 2.28, 2 Tm 2.43-2.44

**E**: -102.82 eV per cell
**Calculated volume**: 15.6 A^3/atom
**Size of the total moment**: 0.003 μB per cell
**SG**: C2/m